Computed, not measured: a geometry-optimized MnB2Br structure at the GGA-PBE level of DFT.

## Properties
- VASP energy: -16.07 eV/f.u.
- Density: 6.114 g cm⁻³
- Total magnetic moment: 0.0 μB/cell
- DOS(E_F): 0.36 states/eV per atom

a = 3.917 Å, b = 3.917 Å, c = 3.917 Å
α = 60.00°, β = 60.00°, γ = 60.00°
Sites, in units of the cell vectors:
Mn: 0.000 0.000 0.000
Br: 0.500 0.500 0.500
B: 0.250 0.250 0.250
B: 0.750 0.750 0.750